(1)
Density functional theory data (PBE) for a geometry-optimized InSiTc2 structure.

Summary:
- Energy relative to the elements, uncorrected: 0.127 eV/atom
- Theoretical density: 8.9 g/cm3
- Symmetry: Imm2, No. 44

Unit cell a=5.424 b=5.424 c=5.424 alpha=146.62 beta=133.70 gamma=58.27
Positions (direct):
In: 0.488 0.488 0.000
Si: 0.222 0.722 0.500
Tc: 0.019 0.019 0.000
Tc: 0.771 0.271 0.500

---

(2)
Density functional theory data (PBE) for a geometry-optimized ReAgSb2 structure.

Summary:
- Energy relative to the elements, uncorrected: 0.770 eV/atom
- Theoretical density: 11.1 g/cm3
- Symmetry: I-4m2, No. 119

Unit cell a=5.589 b=5.589 c=5.589 alpha=136.85 beta=136.85 gamma=62.66
Positions (direct):
Re: 0.750 0.250 0.500
Ag: 0.500 0.500 0.000
Sb: 0.000 0.000 0.000
Sb: 0.250 0.750 0.500

---

(3)
Density functional theory data (PBE) for a geometry-optimized Cs3TiMo structure.

Summary:
- Theoretical density: 3.8 g/cm3
- Final energy: -11.081 eV per cell
- Symmetry: Pm-3m, No. 221

Unit cell a=6.201 b=6.201 c=6.201 alpha=90.00 beta=90.00 gamma=90.00
Positions (direct):
Cs: 0.000 0.500 0.000
Cs: 0.000 0.000 0.500
Cs: 0.500 0.000 0.000
Mo: 0.000 0.000 0.000
Ti: 0.500 0.500 0.500

---

(4)
Density functional theory data (PBE) for a geometry-optimized Sc2InSe structure.

Summary:
- Energy relative to the elements, uncorrected: -0.568 eV/atom
- Theoretical density: 5.4 g/cm3
- Symmetry: I4/mmm, No. 139

Unit cell a=5.148 b=5.148 c=5.148 alpha=125.83 beta=125.83 gamma=80.17
Positions (direct):
In: 0.750 0.250 0.500
Sc: 0.000 0.000 0.000
Sc: 0.500 0.500 0.000
Se: 0.250 0.750 0.500

---

- What is the theoretical density in the first record?
  8.9 g/cm3